UTiCuO6: optimized geometry, PBE-GGA.

The structure in CIF format:
```
data_UTiCuO6
_cell_length_a 5.3618
_cell_length_b 5.3618
_cell_length_c 8.7977
_cell_angle_alpha 90.00
_cell_angle_beta 90.00
_cell_angle_gamma 120.00
_symmetry_space_group_name_H-M 'P -3 1 c'
_symmetry_Int_Tables_number 163
_symmetry_space_group_name_Hall '-P 3 2c'
loop_
_atom_site_label
_atom_site_type_symbol
_atom_site_fract_x
_atom_site_fract_y
_atom_site_fract_z
U1 U 0.3333 0.6667 0.2500
Ti1 Ti 0.3333 0.6667 0.7500
Cu1 Cu 0.0000 0.0000 0.0000
O1 O 0.0149 0.3545 0.6326
```

Output
Magnetic moment, μB per formula unit: 1.03
Formation energy from raw total energies, meV per atom: -2339
E, eV/atom: -8.23